Entry 1:
! DyZn2Ni (PBE-GGA, optimized geometry); values from VASP
! crystal system = trigonal
! formation energy = -0.286 eV/atom
&SYSTEM
  ibrav = 0, nat = 4, ntyp = 3
/
ATOMIC_SPECIES
Ni 58.69 Ni.upf
Zn 65.41 Zn.upf
Dy 162.50 Dy.upf
ATOMIC_POSITIONS angstrom
Ni 4.143 2.392 2.429
Zn 6.215 3.588 3.054
Zn 2.072 1.196 1.805
Dy 0.000 0.000 0.000
CELL_PARAMETERS angstrom
4.143 0.000 0.000
2.072 3.588 0.000
2.072 1.196 4.859

=====

Entry 2:
! Y3HgC (PBE-GGA, optimized geometry); values from VASP
! crystal system = trigonal
! polymorph energy (0 for the lowest one) = 154 meV per atom
! formation energy = -0.275 eV/atom
&SYSTEM
  ibrav = 0, nat = 10, ntyp = 3
/
ATOMIC_SPECIES
Y 88.91 Y.upf
C 12.01 C.upf
Hg 200.59 Hg.upf
ATOMIC_POSITIONS angstrom
Y 0.033 -2.274 9.537
Y -1.985 1.109 9.537
Y -1.953 -1.165 12.336
Y 1.985 -1.109 12.336
Y -0.033 2.274 12.336
Y 1.953 1.165 9.537
C 0.000 0.000 3.556
C 0.000 0.000 18.316
Hg 0.000 0.000 7.457
Hg 0.000 0.000 14.416
CELL_PARAMETERS angstrom
3.687 0.000 7.291
-1.843 3.193 7.291
-1.843 -3.193 7.291

=====

Entry 3:
! PmUGeAu (PBE-GGA, optimized geometry); values from VASP
! crystal system = cubic
! formation energy = -0.303 eV/atom
&SYSTEM
  ibrav = 0, nat = 4, ntyp = 4
/
ATOMIC_SPECIES
Au 196.97 Au.upf
Ge 72.64 Ge.upf
U 238.03 U.upf
Pm 145.00 Pm.upf
ATOMIC_POSITIONS angstrom
Au 7.724 4.460 3.153
Ge 2.575 1.487 1.051
U 5.149 2.973 2.102
Pm 0.000 0.000 0.000
CELL_PARAMETERS angstrom
5.149 0.000 0.000
2.575 4.460 0.000
2.575 1.487 4.204

=====

Entry 4:
! YMg3Pt2 (PBE-GGA, optimized geometry); values from VASP
! crystal system = monoclinic
! formation energy = -0.771 eV/atom
&SYSTEM
  ibrav = 0, nat = 12, ntyp = 3
/
ATOMIC_SPECIES
Y 88.91 Y.upf
Mg 24.30 Mg.upf
Pt 195.08 Pt.upf
ATOMIC_POSITIONS angstrom
Y 3.469 0.902 2.524
Y 1.204 6.193 10.752
Mg 1.563 3.201 9.448
Mg 4.064 2.354 7.926
Mg 2.603 0.885 5.668
Mg 2.069 6.209 7.608
Mg 0.609 4.740 5.350
Mg 3.110 3.893 3.828
Pt 1.892 0.832 8.250
Pt 2.780 6.262 5.026
Pt 3.642 4.960 9.459
Pt 1.031 2.134 3.817
CELL_PARAMETERS angstrom
3.870 0.000 1.066
1.038 7.438 3.794
-0.235 -0.344 8.417

=====

Entry 5:
! LaCo12B6 (PBE-GGA, optimized geometry); values from VASP
! crystal system = trigonal
! formation energy = -0.347 eV/atom
&SYSTEM
  ibrav = 0, nat = 19, ntyp = 3
/
ATOMIC_SPECIES
La 138.91 La.upf
Co 58.93 Co.upf
B 10.81 B.upf
ATOMIC_POSITIONS angstrom
La 0.000 0.000 0.000
Co 2.160 -4.041 -2.206
Co 2.567 -2.537 3.583
Co -2.734 -4.100 1.257
Co -1.238 -4.582 -1.827
Co 4.062 -3.019 0.499
Co -0.831 -3.078 3.963
Co 0.737 -4.865 -0.328
Co 2.153 -4.104 1.685
Co -0.376 -4.506 1.968
Co 0.591 -2.254 2.085
Co -0.825 -3.015 0.071
Co 1.704 -2.613 -0.211
B 0.990 -3.833 3.407
B -1.290 -5.058 0.165
B 2.783 -4.411 -0.290
B 0.338 -3.286 -1.651
B 2.619 -2.061 1.592
B -1.454 -2.708 2.046
CELL_PARAMETERS angstrom
-4.010 -2.426 3.737
0.073 -3.742 -4.683
5.266 -0.951 2.702

=====

Entry 6:
! Li2CaBe (PBE-GGA, optimized geometry); values from VASP
! crystal system = tetragonal
! formation energy = 0.281 eV/atom
&SYSTEM
  ibrav = 0, nat = 4, ntyp = 3
/
ATOMIC_SPECIES
Be 9.01 Be.upf
Ca 40.08 Ca.upf
Li 6.94 Li.upf
ATOMIC_POSITIONS angstrom
Be 0.925 2.490 1.521
Ca 2.656 -0.011 1.521
Li 0.000 0.000 0.000
Li 3.581 2.479 0.000
CELL_PARAMETERS angstrom
5.313 -0.023 0.000
1.850 4.980 0.000
-3.581 -2.479 3.042

=====

Entry 7:
! PmTmNi3 (PBE-GGA, optimized geometry); values from VASP
! crystal system = orthorhombic
! formation energy = -0.406 eV/atom
&SYSTEM
  ibrav = 0, nat = 10, ntyp = 3
/
ATOMIC_SPECIES
Pm 145.00 Pm.upf
Tm 168.93 Tm.upf
Ni 58.69 Ni.upf
ATOMIC_POSITIONS angstrom
Pm -1.314 -1.099 -1.061
Pm -5.995 -8.248 -3.822
Tm -3.586 -6.282 -1.715
Tm -3.723 -3.065 -3.167
Ni -6.336 -6.426 -1.418
Ni -0.973 -2.921 -3.464
Ni -7.943 -8.130 -1.533
Ni 0.634 -1.217 -3.350
Ni -5.668 -5.129 -3.306
Ni -1.640 -4.219 -1.577
CELL_PARAMETERS angstrom
-0.458 0.693 -3.902
2.795 -2.582 -0.786
-9.646 -7.458 -0.194

=====

Entry 8:
! CaHfCu10 (PBE-GGA, optimized geometry); values from VASP
! crystal system = orthorhombic
! formation energy = -0.069 eV/atom
&SYSTEM
  ibrav = 0, nat = 12, ntyp = 3
/
ATOMIC_SPECIES
Ca 40.08 Ca.upf
Hf 178.49 Hf.upf
Cu 63.55 Cu.upf
ATOMIC_POSITIONS angstrom
Ca 0.000 0.000 0.000
Hf 0.000 2.506 4.299
Cu 0.000 0.000 2.938
Cu 0.000 2.506 7.082
Cu 0.000 2.506 1.516
Cu 0.000 0.000 5.660
Cu 2.032 0.000 4.299
Cu 2.032 2.506 0.000
Cu 2.032 1.292 2.250
Cu 2.032 3.720 6.349
Cu 2.032 3.720 2.250
Cu 2.032 1.292 6.349
CELL_PARAMETERS angstrom
4.063 0.000 0.000
0.000 5.012 0.000
0.000 0.000 8.598

=====

Entry 9:
! Ba4Dy (PBE-GGA, optimized geometry); values from VASP
! crystal system = cubic
! formation energy = 0.451 eV/atom
&SYSTEM
  ibrav = 0, nat = 5, ntyp = 2
/
ATOMIC_SPECIES
Ba 137.33 Ba.upf
Dy 162.50 Dy.upf
ATOMIC_POSITIONS angstrom
Ba 0.000 0.000 0.000
Ba 3.364 0.000 3.364
Ba 0.000 3.364 3.364
Ba 3.364 3.364 0.000
Dy 3.364 3.364 3.364
CELL_PARAMETERS angstrom
6.728 0.000 0.000
0.000 6.728 0.000
0.000 0.000 6.728

=====

Entry 10:
! VBi3S (PBE-GGA, optimized geometry); values from VASP
! crystal system = cubic
! polymorph energy (0 for the lowest one) = 0 meV per atom
&SYSTEM
  ibrav = 0, nat = 5, ntyp = 3
/
ATOMIC_SPECIES
S 32.06 S.upf
Bi 208.98 Bi.upf
V 50.94 V.upf
ATOMIC_POSITIONS angstrom
S 1.140 3.607 2.421
Bi -0.594 0.377 2.496
Bi 2.427 0.790 0.459
Bi -0.693 2.441 -0.533
V 0.000 0.000 0.000
CELL_PARAMETERS angstrom
-1.387 4.882 -1.067
-1.188 0.753 4.992
4.854 1.579 0.917

=====

Entry 11:
! Sc6Rh2O (PBE-GGA, optimized geometry); values from VASP
! crystal system = monoclinic
! total energy = -7.51 eV/atom
&SYSTEM
  ibrav = 0, nat = 18, ntyp = 3
/
ATOMIC_SPECIES
Sc 44.96 Sc.upf
Rh 102.91 Rh.upf
O 16.00 O.upf
ATOMIC_POSITIONS angstrom
Sc -0.292 5.628 0.324
Sc 0.281 2.954 2.013
Sc 1.059 0.201 3.075
Sc 1.204 3.196 7.223
Sc 1.982 0.444 6.161
Sc 1.155 4.582 4.472
Sc 4.819 1.167 7.972
Sc 4.246 3.842 6.283
Sc 3.467 6.594 5.221
Sc 3.323 3.599 1.073
Sc 2.544 6.351 2.135
Sc 3.372 2.213 3.824
Rh 0.079 2.172 4.793
Rh 2.184 1.226 0.645
Rh 2.343 5.569 7.650
Rh 4.447 4.624 3.503
O 2.964 -0.009 4.148
O -0.700 3.407 0.000
CELL_PARAMETERS angstrom
5.927 -0.018 0.000
-1.401 6.813 0.000
0.000 0.000 8.296

=====

Entry 12:
! Sm3TmTl4 (PBE-GGA, optimized geometry); values from VASP
! crystal system = orthorhombic
! polymorph energy (0 for the lowest one) = 130 meV per atom
! formation energy = -0.233 eV/atom
&SYSTEM
  ibrav = 0, nat = 16, ntyp = 3
/
ATOMIC_SPECIES
Sm 150.36 Sm.upf
Tm 168.93 Tm.upf
Tl 204.38 Tl.upf
ATOMIC_POSITIONS angstrom
Sm -4.247 -5.936 -2.900
Sm 1.079 -4.860 -2.564
Sm -1.364 -4.493 1.275
Sm 2.105 -4.557 2.601
Sm 2.119 -8.130 3.618
Sm 4.370 -8.297 -0.350
Tm -4.786 -4.518 0.102
Tm 1.116 -6.914 0.414
Tl -1.751 -4.601 -4.537
Tl -2.149 -3.103 -1.621
Tl 1.207 -2.831 0.005
Tl -1.488 -6.520 -1.297
Tl -1.328 -8.211 2.034
Tl -0.482 -5.949 4.287
Tl 1.790 -9.941 0.908
Tl 4.704 -6.483 2.359
CELL_PARAMETERS angstrom
-5.133 -3.153 2.738
-0.458 -3.843 -5.283
6.775 -7.073 4.558

=====

no.,magnetic moment (μB/atom)
1,0.0000
2,0.0000
3,0.9975
4,0.0000
5,0.3556
6,0.0000
7,0.0000
8,0.0000
9,0.0000
10,0.0012
11,0.0000
12,0.0000